1.
Crystalline ZrSc2Si4Ag4 at its relaxed geometry, computed with PBE.

Summary:
raw total energy: -5.2894 eV/atom

a = 4.107 Å, b = 6.855 Å, c = 13.612 Å
α = 90.00°, β = 90.00°, γ = 90.00°
Space group Immm (No. 71)
One atom of each set of equivalent atoms:
Zr  0.000  0.000  0.000 [2 per cell]
Sc  0.000  0.500  0.120 [4 per cell]
Si  0.000  0.000  0.215 [4 per cell]
Si  0.000  0.178  0.500 [4 per cell]
Ag  0.000  0.298  0.330 [8 per cell]

---

2.
Crystalline PrTaIr at its relaxed geometry, computed with PBE.

Summary:
energy of formation: 0.16 eV per atom

a = 6.633 Å, b = 6.633 Å, c = 6.633 Å
α = 90.00°, β = 90.00°, γ = 90.00°
Space group F-43m (No. 216)
One atom of each set of equivalent atoms:
Pr  0.000  0.000  0.000 [4 per cell]
Ta  0.000  0.000  0.500 [4 per cell]
Ir  0.250  0.250  0.750 [4 per cell]

---

3.
Crystalline YCdSn2 at its relaxed geometry, computed with PBE.

Summary:
raw total energy: -4.0149 eV/atom

a = 7.521 Å, b = 7.521 Å, c = 7.521 Å
α = 90.00°, β = 90.00°, γ = 90.00°
Space group F-43m (No. 216)
One atom of each set of equivalent atoms:
Y  0.000  0.000  0.000 [4 per cell]
Cd  0.250  0.250  0.750 [4 per cell]
Sn  0.000  0.000  0.500 [4 per cell]
Sn  0.250  0.250  0.250 [4 per cell]

---

4.
Crystalline Tb2Tc2O5 at its relaxed geometry, computed with PBE.

Summary:
polymorph energy (0 for the lowest one): 353 meV per atom

a = 3.578 Å, b = 3.578 Å, c = 9.467 Å
α = 90.00°, β = 90.00°, γ = 90.00°
Space group P4/mmm (No. 123)
One atom of each set of equivalent atoms:
Tb  0.000  0.000  0.242 [2 per cell]
Tc  0.500  0.500  0.000 [1 per cell]
Tc  0.500  0.500  0.500 [1 per cell]
O  0.000  0.000  0.000 [1 per cell]
O  0.000  0.500  0.376 [4 per cell]